Run P
MgHgMo2 | SCAN | PBEsol geometry

Cell: 3.799 3.799 4.594 Å, 90.00 90.00 90.00°
Space group P4/mmm (No. 123)
Asymmetric unit:
1 Mg 0.000 0.000 0.000
2 Hg 0.500 0.500 0.000
3 Mo 0.000 0.500 0.500

Output
Density   10.4 Mg/m³


Run Q
MgHgMo2 | SCAN | PBEsol geometry

Cell: 3.805 3.805 9.180 Å, 90.00 90.00 90.00°
Space group I4/mmm (No. 139)
Asymmetric unit:
1 Mg 0.000 0.000 0.000
2 Hg 0.000 0.000 0.500
3 Mo 0.000 0.500 0.250

Output
Density   10.4 Mg/m³


Most stable = run P


Run P
MgHgP2 | SCAN | PBEsol geometry

Cell: 3.946 3.689 5.396 Å, 90.00 109.09 90.00°
Space group P2/m (No. 10)
Asymmetric unit:
1 Mg 0.000 0.000 0.000
2 Hg 0.500 0.500 0.000
3 P 0.000 0.000 0.500
4 P 0.500 0.500 0.500

Output
Density   6.4 Mg/m³


Run Q
MgHgP2 | SCAN | PBEsol geometry

Cell: 3.633 3.633 5.766 Å, 90.00 90.00 90.00°
Space group P4/mmm (No. 123)
Asymmetric unit:
1 Mg 0.000 0.000 0.000
2 Hg 0.000 0.000 0.500
3 P 0.500 0.500 0.186

Output
Density   6.3 Mg/m³


Most stable = run Q


Run P
Mg2HgPb | SCAN | PBEsol geometry

Cell: 3.667 3.667 7.042 Å, 90.00 90.00 90.00°
Space group P4mm (No. 99)
Asymmetric unit:
1 Mg 0.000 0.000 0.000
2 Mg 0.500 0.500 0.256
3 Hg 0.500 0.500 0.813
4 Pb 0.000 0.000 0.520

Output
Density   8.0 Mg/m³


Run Q
Mg2HgPb | SCAN | PBEsol geometry

Cell: 4.989 4.989 3.666 Å, 90.00 90.00 90.00°
Space group P4/mmm (No. 123)
Asymmetric unit:
1 Mg 0.000 0.500 0.000
2 Hg 0.000 0.000 0.500
3 Pb 0.500 0.500 0.500

Output
Density   8.3 Mg/m³


Run R
Mg2HgPb | SCAN | PBEsol geometry

Cell: 10.991 3.407 5.108 Å, 90.00 103.68 90.00°
Space group Cm (No. 8)
Asymmetric unit:
1 Mg 0.000 0.000 0.000
2 Mg 0.236 0.000 0.658
3 Hg 0.001 0.500 0.522
4 Pb 0.253 0.500 0.171

Output
Density   8.2 Mg/m³


Most stable = run Q


Run P
Mg2HgPb | SCAN | PBEsol geometry

Cell: 3.510 3.508 7.398 Å, 90.00 90.10 90.00°
Space group P2/m (No. 10)
Asymmetric unit:
1 Mg 0.001 0.000 0.220
2 Hg 0.500 0.500 0.000
3 Pb 0.500 0.500 0.500

Output
Density   8.3 Mg/m³


Run Q
Mg2HgPb | SCAN | PBEsol geometry

Cell: 9.228 3.404 6.098 Å, 90.00 102.18 90.00°
Space group C2/m (No. 12)
Asymmetric unit:
1 Mg 0.244 0.000 0.226
2 Hg 0.000 0.500 0.000
3 Pb 0.000 0.000 0.500

Output
Density   8.1 Mg/m³


Run R
Mg2HgPb | SCAN | PBEsol geometry

Cell: 3.4345 3.4345 27.5429 Å, 90.00 90.00 120.00°
Space group R-3m (No. 166, hexagonal axes)
Asymmetric unit:
1 Mg 0.0000 0.0000 0.2433
2 Hg 0.0000 0.0000 0.5000
3 Pb 0.0000 0.0000 0.0000

Output
Density   8.1 Mg/m³


Run S
Mg2HgPb | SCAN | PBEsol geometry

Cell: 4.331 4.331 9.827 Å, 90.00 90.00 90.00°
Space group I-4m2 (No. 119)
Asymmetric unit:
1 Mg 0.000 0.000 0.000
2 Mg 0.000 0.500 0.250
3 Hg 0.000 0.500 0.750
4 Pb 0.000 0.000 0.500

Output
Density   8.2 Mg/m³


Most stable = run P


Run P
Mg2HgPb | SCAN | PBEsol geometry

Cell: 3.446 4.452 6.126 Å, 90.00 90.00 90.00°
Space group Pmm2 (No. 25)
Asymmetric unit:
1 Mg 0.000 0.000 0.000
2 Mg 0.500 0.500 0.285
3 Hg 0.500 0.500 0.817
4 Pb 0.000 0.000 0.507

Output
Density   8.1 Mg/m³


Run Q
Mg2HgPb | SCAN | PBEsol geometry

Cell: 3.745 4.708 10.632 Å, 90.00 90.00 90.00°
Space group Imm2 (No. 44)
Asymmetric unit:
1 Mg 0.000 0.000 0.000
2 Mg 0.000 0.500 0.232
3 Hg 0.000 0.000 0.517
4 Pb 0.000 0.500 0.768

Output
Density   8.1 Mg/m³


Most stable = run Q


Run P
MgHgS2 | SCAN | PBEsol geometry

Cell: 3.9362 3.9362 21.3751 Å, 90.00 90.00 120.00°
Space group R-3m (No. 166, hexagonal axes)
Asymmetric unit:
1 Mg 0.0000 0.0000 0.0000
2 Hg 0.0000 0.0000 0.5000
3 S 0.0000 0.0000 0.3917

Output
Density   5.0 Mg/m³


Run Q
MgHgS2 | SCAN | PBEsol geometry

Cell: 5.743 5.743 11.607 Å, 90.00 90.00 90.00°
Space group I-42d (No. 122)
Asymmetric unit:
1 Mg 0.000 0.000 0.000
2 Hg 0.000 0.000 0.500
3 S 0.234 0.250 0.125

Output
Density   5.0 Mg/m³


Most stable = run Q